Record 1
Entry from the Alexandria database: CaAg2Pt after structural relaxation (PBE).

Lattice parameters (Å, degrees): 5.746 10.231 3.115 90.00 120.98 90.00
Positions (direct):
Ca  0.000  0.000  0.000
Ca  0.500  0.500  0.000
Ag  0.250  0.250  0.500
Ag  0.250  0.750  0.500
Ag  0.750  0.250  0.500
Ag  0.750  0.750  0.500
Pt  0.000  0.500  0.000
Pt  0.500  0.000  0.000

Calculated volume (Å³ per cell): 157
Total energy (eV/atom): -3.642
ΔH_f (0 K) (meV/atom): -206

Record 2
Entry from the Alexandria database: CdSiHgSe2 after structural relaxation (PBE).

Lattice parameters (Å, degrees): 5.471 5.471 4.807 90.00 90.00 90.00
Positions (direct):
Cd  0.000  0.000  0.000
Si  0.500  0.500  0.000
Hg  0.500  0.500  0.500
Se  0.000  0.500  0.500
Se  0.500  0.000  0.500

Formation energy (no corrections) (kJ per mole of atoms): 74
Calculated volume (Å³ per cell): 144
Total energy (eV/atom): -1.956

Record 3
Entry from the Alexandria database: Zn2In after structural relaxation (PBE).

Lattice parameters (Å, degrees): 3.814 3.814 17.203 90.00 90.00 90.00
Positions (direct):
Zn  0.000  0.250  0.299
Zn  0.000  0.250  0.451
Zn  0.000  0.750  0.549
Zn  0.000  0.750  0.701
Zn  0.500  0.250  0.049
Zn  0.500  0.250  0.201
Zn  0.500  0.750  0.799
Zn  0.500  0.750  0.951
In  0.000  0.250  0.875
In  0.000  0.750  0.125
In  0.500  0.250  0.625
In  0.500  0.750  0.375

Calculated volume (Å³ per cell): 250
Total energy (eV/atom): -1.623
ΔH_f (0 K) (meV/atom): 139